Model one:
Here is a relaxed Sc3GaPb crystal from Alexandria. Energies are from GGA-PBE.

abc: 5.3725 5.3725 5.3725
angles: 90.00 90.00 90.00
Last column: nearest neighbours and their distance in Å.
Space group Pm-3m (No. 221)
Unique sites:
Sc: 0.0000 0.0000 0.5000  2 Pb 2.69
Ga: 0.5000 0.5000 0.5000  12 Sc 3.80
Pb: 0.0000 0.0000 0.0000  6 Sc 2.69

Results
Calculated density in g cm⁻³: 4.4
Crystal system: cubic

Model two:
Here is a relaxed Sc3GaPb crystal from Alexandria. Energies are from GGA-PBE.

abc: 5.0635 5.0635 5.0635
angles: 90.00 90.00 90.00
Last column: nearest neighbours and their distance in Å.
Space group Pm-3m (No. 221)
Unique sites:
Sc: 0.0000 0.0000 0.5000  2 Ga 2.53
Ga: 0.0000 0.0000 0.0000  6 Sc 2.53
Pb: 0.5000 0.5000 0.5000  12 Sc 3.58

Results
Calculated density in g cm⁻³: 5.3
Crystal system: cubic

Comparing the structures above, model two comes out on top by 0.620 eV/atom.